# 1
RbNdTl2: relaxed, PBE.

Structure (extended XYZ):
```
4
Lattice="4.007 0.000 0.000 0.000 4.007 0.000 0.000 0.000 8.991" Properties=species:S:1:pos:R:3 pbc="T T T"
Rb 0.000 0.000 0.000
Nd 0.000 0.000 4.496
Tl 2.003 2.003 2.700
Tl 2.003 2.003 6.292
```

Output
energy above the most stable polymorph in this dataset: 0.0 kJ/mol of atoms
E_form: -193.4 meV per atom

---

# 2
CaNiMo2Se: relaxed, PBE.

Structure (extended XYZ):
```
5
Lattice="4.558 0.000 0.000 0.000 4.558 0.000 0.000 0.000 5.103" Properties=species:S:1:pos:R:3 pbc="T T T"
Ca 0.000 0.000 0.000
Ni 2.279 2.279 2.552
Mo 0.000 2.279 2.552
Mo 2.279 0.000 2.552
Se 2.279 2.279 0.000
```

Output
ΔE_f (raw): 883.7 meV per atom

---

# 3
BeV3Mo: relaxed, PBE.

Structure (extended XYZ):
```
5
Lattice="4.107 0.000 0.000 0.000 4.107 0.000 0.000 0.000 4.107" Properties=species:S:1:pos:R:3 pbc="T T T"
Be 0.000 0.000 0.000
V 0.000 0.000 2.054
V 0.000 2.054 0.000
V 2.054 0.000 0.000
Mo 2.054 2.054 2.054
```

Output
energy above the most stable polymorph in this dataset: 0.0 kJ/mol of atoms
E_form: 683.0 meV per atom

---

# 4
MgAuBr2: relaxed, PBE.

Structure (extended XYZ):
```
4
Lattice="1.806 1.042 10.732 -1.806 1.042 10.732 0.000 -2.085 10.732" Properties=species:S:1:pos:R:3 pbc="T T T"
Mg 0.000 0.000 0.000
Au 0.000 0.000 16.097
Br 0.000 0.000 12.336
Br 0.000 0.000 19.859
```

Output
energy above the most stable polymorph in this dataset: 0.2 kJ/mol of atoms
ΔE_f (raw): -622.9 meV per atom

---

# 5
Tb3HoRu8: relaxed, PBE.

Structure (extended XYZ):
```
12
Lattice="4.618 -2.664 0.000 4.618 2.664 0.000 -3.110 0.000 8.759" Properties=species:S:1:pos:R:3 pbc="T T T"
Tb 0.000 0.000 0.000
Tb -0.013 0.000 3.284
Tb 3.063 0.000 4.382
Ho 3.050 0.000 7.660
Ru -1.566 0.000 6.028
Ru 2.301 1.334 1.633
Ru 0.749 1.336 6.029
Ru -0.030 0.000 8.204
Ru 2.301 -1.334 1.633
Ru 4.613 0.000 1.633
Ru 0.749 -1.336 6.029
Ru 6.143 0.000 3.827
```

Output
E_form: -289.2 meV per atom

---

# 6
Nd2SmDyP4: relaxed, PBE.

Structure (extended XYZ):
```
8
Lattice="7.122 0.000 0.000 0.000 4.115 0.000 -2.373 0.000 6.716" Properties=species:S:1:pos:R:3 pbc="T T T"
Nd 0.000 0.000 0.000
Nd -1.186 2.058 3.358
Sm 2.375 0.000 3.358
Dy 3.561 2.058 0.000
P 1.230 2.058 1.673
P 0.042 0.000 5.072
P 4.707 0.000 1.644
P 3.520 2.058 5.043
```

Output
E_form: -1560.3 meV per atom

---

# 7
RbTl6Pd3: relaxed, PBE.

Structure (extended XYZ):
```
10
Lattice="6.986 0.000 0.000 -3.457 6.107 0.000 -0.447 -3.813 6.540" Properties=species:S:1:pos:R:3 pbc="T T T"
Rb 0.000 0.000 0.000
Tl -1.594 3.085 1.462
Tl 1.387 -0.766 3.946
Tl -0.316 2.192 4.618
Tl 3.517 -0.136 1.424
Tl 1.956 2.970 2.343
Tl 4.960 -0.808 4.633
Pd 0.233 -0.126 6.460
Pd 2.721 -1.581 6.333
Pd 4.172 1.609 3.428
```

Output
E_form: -90.2 meV per atom

---

# 8
ScV3Sn: relaxed, PBE.

Structure (extended XYZ):
```
5
Lattice="4.853 0.000 0.000 0.000 4.853 0.000 0.000 0.000 4.853" Properties=species:S:1:pos:R:3 pbc="T T T"
Sc 0.000 0.000 0.000
V 0.000 2.426 2.426
V 2.426 0.000 2.426
V 2.426 2.426 0.000
Sn 2.426 2.426 2.426
```

Output
energy above the most stable polymorph in this dataset: 0.5 kJ/mol of atoms
E_form: 1372.2 meV per atom

---

# 9
NaPd6Pb: relaxed, PBE.

Structure (extended XYZ):
```
8
Lattice="3.642 2.103 3.438 -3.642 2.103 3.438 0.000 -4.206 3.438" Properties=species:S:1:pos:R:3 pbc="T T T"
Na 0.000 0.000 0.000
Pd 0.000 -1.570 2.933
Pd -1.360 0.785 2.933
Pd -1.360 -0.785 7.380
Pd 1.360 0.785 2.933
Pd 1.360 -0.785 7.380
Pd 0.000 1.570 7.380
Pb 0.000 0.000 5.157
```

Output
E_form: 240.0 meV per atom

---

# 10
VGeSbTe2: relaxed, PBE.

Structure (extended XYZ):
```
5
Lattice="5.197 0.000 0.000 0.000 5.197 0.000 0.000 0.000 5.205" Properties=species:S:1:pos:R:3 pbc="T T T"
V 0.000 0.000 0.000
Ge 2.598 2.598 2.602
Sb 0.000 0.000 2.602
Te 0.000 2.598 0.000
Te 2.598 0.000 0.000
```

Output
energy above the most stable polymorph in this dataset: 0.0 kJ/mol of atoms
ΔE_f (raw): 436.3 meV per atom

---

# 11
TbHfGa: relaxed, PBE.

Structure (extended XYZ):
```
3
Lattice="4.744 0.000 0.000 -2.372 4.109 0.000 0.000 0.000 3.670" Properties=species:S:1:pos:R:3 pbc="T T T"
Tb 0.000 0.000 0.000
Hf 0.000 2.739 1.836
Ga 2.372 1.370 1.828
```

Output
energy above the most stable polymorph in this dataset: 25.6 kJ/mol of atoms
E_form: -124.4 meV per atom

---

# 12
SrZrAl2: relaxed, PBE.

Structure (extended XYZ):
```
4
Lattice="1.723 0.995 9.723 -1.723 0.995 9.723 0.000 -1.990 9.723" Properties=species:S:1:pos:R:3 pbc="T T T"
Sr 0.000 0.000 0.000
Zr 0.000 0.000 14.584
Al 0.000 0.000 7.046
Al 0.000 0.000 22.123
```

Output
energy above the most stable polymorph in this dataset: 29.5 kJ/mol of atoms
E_form: 88.2 meV per atom

---

no.,VASP energy (Ha/atom),volume (Å³/atom)
1,-0.1033,36.1
2,-0.2096,21.2
3,-0.2830,13.9
4,-0.0984,30.3
5,-0.2944,18.0
6,-0.2434,24.6
7,-0.1163,27.9
8,-0.2266,22.9
9,-0.1574,19.7
10,-0.1614,28.1
11,-0.2203,23.8
12,-0.1595,25.0